This record from Alexandria describes a relaxed structure of BaCuRu2. The functional is PBE-GGA.

- formation energy from the elements (eV/atom) = 0.8041

Structure (POSCAR):
```
BaCuRu2
1.0
5.102 -0.028 -0.012
0.112 5.101 0.012
-1.898 -3.264 3.431
Ba Cu Ru
1 1 2
Cartesian
2.605 2.534 0.000
0.104 1.888 1.721
5.107 4.968 0.000
3.320 0.025 1.709
```